1.
KCaOs: relaxed, GGA-PBEsol.

Values from the calculation:
Size of the total moment   0.87 μB per cell
ΔH_f (0 K)   1.019 eV per atom
Density   5.6 g/cm3

Cell: 3.1101 3.1101 8.5782 Å, 100.44 100.44 90.00°
Closest atoms and distances in Å follow each position.
Atoms (fractional coordinates):
K: 0.6979 0.6979 0.3957  4 K 3.11, 4 Os 3.28
Os: 0.3450 0.3450 0.6900  4 Ca 2.88, 4 Os 3.11
Ca: 0.9571 0.9571 0.9143  4 Os 2.88, 4 Ca 3.11

2.
KCaP2: relaxed, GGA-PBEsol.

Values from the calculation:
Size of the total moment   0.00 μB per cell
ΔH_f (0 K)   -0.196 eV per atom
Energy above the most stable polymorph in this dataset   500.7 meV per atom
Density   2.3 g/cm3

Cell: 3.4334 3.4334 8.7710 Å, 90.00 90.00 92.50°
Closest atoms and distances in Å follow each position.
Atoms (fractional coordinates):
P: 0.5000 0.5000 0.8265  4 P 2.46-2.57
P: 0.0000 0.0000 0.9016  4 P 2.46-2.57, 1 Ca 2.69
Ca: 0.0000 0.0000 0.5948  1 P 2.69
K: 0.5000 0.5000 0.1770  3 P 3.07-3.39, 4 K 3.43

What did the first record say?
KCaOs: relaxed, GGA-PBEsol.

Values from the calculation:
Size of the total moment   0.87 μB per cell
ΔH_f (0 K)   1.019 eV per atom
Density   5.6 g/cm3

Cell: 3.1101 3.1101 8.5782 Å, 100.44 100.44 90.00°
Closest atoms and distances in Å follow each position.
Atoms (fractional coordinates):
K: 0.6979 0.6979 0.3957  4 K 3.11, 4 Os 3.28
Os: 0.3450 0.3450 0.6900  4 Ca 2.88, 4 Os 3.11
Ca: 0.9571 0.9571 0.9143  4 Os 2.88, 4 Ca 3.11

Please write out number 2 again, unchanged.
KCaP2: relaxed, GGA-PBEsol.

Values from the calculation:
Size of the total moment   0.00 μB per cell
ΔH_f (0 K)   -0.196 eV per atom
Energy above the most stable polymorph in this dataset   500.7 meV per atom
Density   2.3 g/cm3

Cell: 3.4334 3.4334 8.7710 Å, 90.00 90.00 92.50°
Closest atoms and distances in Å follow each position.
Atoms (fractional coordinates):
P: 0.5000 0.5000 0.8265  4 P 2.46-2.57
P: 0.0000 0.0000 0.9016  4 P 2.46-2.57, 1 Ca 2.69
Ca: 0.0000 0.0000 0.5948  1 P 2.69
K: 0.5000 0.5000 0.1770  3 P 3.07-3.39, 4 K 3.43